Material: Nb2GaPdSe
Method: DFT, GGA-PBE
State: relaxed

Values from the calculation:
For the energy relative to the elements, uncorrected, the calculation gives 5.6 eV/f.u. Its space group is No. 123.

Unit cell a=4.9726 b=4.7382 c=4.9726 alpha=90.00 beta=90.00 gamma=90.00
Element x y z (fractional)
Ga  0.5000  0.5000  0.5000
Pd  0.0000  0.0000  0.0000
Nb  0.5000  0.0000  0.0000
Nb  0.0000  0.0000  0.5000
Se  0.0000  0.5000  0.0000